VASP calculation (GGA+U) on a relaxed structure of SrNb2NiClO7.

Cell: 3.931 3.931 12.015 Å, 90.00 90.00 90.00°
Fractional positions:
Sr  0.000  0.000  0.000
Nb  0.500  0.500  0.191
Nb  0.500  0.500  0.809
Ni  0.500  0.500  0.500
Cl  0.000  0.000  0.500
O  0.000  0.500  0.156
O  0.000  0.500  0.844
O  0.500  0.000  0.156
O  0.500  0.000  0.844
O  0.500  0.500  0.000
O  0.500  0.500  0.342
O  0.500  0.500  0.658

Values from the calculation:
Energy ... -7.214 eV/atom
Symmetry ... P4/mmm